(1)
Entry from Alexandria: crystalline Lu2CoH at its relaxed geometry (GGA-PBE).

Structure (POSCAR):
```
Lu2CoH
1.0
1.8141 1.0474 5.9245
-1.8141 1.0474 5.9245
0.0000 -2.0948 5.9245
Lu Co H
2 1 1
Direct
0.2451 0.2451 0.2451
0.7549 0.7549 0.7549
0.0000 0.0000 0.0000
0.5000 0.5000 0.5000
```

Results
DFT total energy = -5.091 eV per atom
DOS(E_F) = 1.0 states/eV/cell

(2)
Entry from Alexandria: crystalline ScTi2SnN at its relaxed geometry (GGA-PBE).

Structure (POSCAR):
```
ScTi2SnN
1.0
4.1709 0.0000 0.0000
0.0000 4.1709 0.0000
0.0000 0.0000 4.5539
Sc Ti Sn N
1 2 1 1
Direct
0.0000 0.0000 0.0000
0.0000 0.5000 0.5000
0.5000 0.0000 0.5000
0.5000 0.5000 0.0000
0.0000 0.0000 0.5000
```

Results
excess energy over the best structure of this formula in the dataset = 0.00 eV per formula unit
uncorrected formation energy = -968.9 meV per atom
DOS(E_F) = 5.1 states/eV/cell